(1)
First-principles (PBE-GGA) data for PbOF3 after structural relaxation, as listed in Alexandria via LeMat-Bulk.

```
PbOF3
1.0
7.2023 0.0000 0.0000
0.0000 5.4264 -2.7493
0.0000 1.0894 8.6263
F Pb O
12 4 4
Direct
0.2500 0.7159 0.7599 F
0.2500 0.2159 0.2599 F
0.7500 0.2841 0.2401 F
0.5618 0.3438 0.5533 F
0.9382 0.8438 0.0533 F
0.4382 0.6562 0.4467 F
0.4383 0.1562 0.9467 F
0.0617 0.6562 0.4467 F
0.7500 0.7841 0.7401 F
0.9383 0.3438 0.5533 F
0.5617 0.8438 0.0533 F
0.0618 0.1562 0.9467 F
0.2500 0.4380 0.5194 Pb
0.7500 0.5620 0.4806 Pb
0.2500 0.9380 0.0194 Pb
0.7500 0.0620 0.9806 Pb
0.7500 0.8376 0.3914 O
0.2500 0.6624 0.1086 O
0.7500 0.3376 0.8914 O
0.2500 0.1624 0.6086 O
```

Properties
electronic total energy = -81.2 eV/cell
excess energy over the best structure of this formula in the dataset = 0 meV/atom
SG = P2_1/m
volume = 359 Å³ per cell
M_tot = 0.2000 μB per atom

(2)
First-principles (PBE-GGA) data for PbO2F2 after structural relaxation, as listed in Alexandria via LeMat-Bulk.

```
PbO2F2
1.0
4.1031 0.0000 0.0000
0.0000 4.1031 0.0000
0.0000 0.0000 3.7405
Pb F O
1 2 2
Direct
0.5000 0.5000 0.5000 Pb
0.5000 0.0000 0.0000 F
0.0000 0.5000 0.0000 F
0.0000 0.0000 0.0000 O
0.0000 0.0000 0.5000 O
```

Properties
electronic total energy = -19.2 eV/cell
excess energy over the best structure of this formula in the dataset = 988 meV/atom
SG = P4/mmm
volume = 63 Å³ per cell
M_tot = 0.0837 μB per atom

(3)
First-principles (PBE-GGA) data for Pb3OF3 after structural relaxation, as listed in Alexandria via LeMat-Bulk.

```
Pb3OF3
1.0
-1.7267 -2.0119 6.1541
4.7044 -4.0029 -2.5978
5.0787 3.5994 2.9131
F Pb O
6 6 2
Direct
0.4821 0.4821 0.2890 F
0.7255 0.2745 0.0000 F
0.2745 0.7255 0.0000 F
0.8471 0.1529 0.5000 F
0.1529 0.8471 0.5000 F
0.5179 0.5179 0.7110 F
0.5520 0.8838 0.7408 Pb
0.1612 0.1612 0.7809 Pb
0.4480 0.1162 0.2592 Pb
0.8388 0.8388 0.2191 Pb
0.1162 0.4480 0.2592 Pb
0.8838 0.5520 0.7408 Pb
0.1514 0.1514 0.1223 O
0.8486 0.8486 0.8777 O
```

Properties
electronic total energy = -66.6 eV/cell
SG = C2/m
volume = 287 Å³ per cell
M_tot = 0.0000 μB per atom

(4)
First-principles (PBE-GGA) data for PdPbO2F after structural relaxation, as listed in Alexandria via LeMat-Bulk.

```
PdPbO2F
1.0
4.2650 0.0000 0.0000
0.0000 4.2650 0.0000
0.0000 0.0000 4.3690
O Pb F Pd
2 1 1 1
Direct
0.0000 0.5000 0.0000 O
0.5000 0.0000 0.0000 O
0.0000 0.0000 0.0000 Pb
0.0000 0.0000 0.5000 F
0.5000 0.5000 0.5000 Pd
```

Properties
electronic total energy = -22.4 eV/cell
SG = P4/mmm
volume = 79 Å³ per cell
M_tot = 0.2469 μB per atom

(5)
First-principles (PBE-GGA) data for PdPbO2F after structural relaxation, as listed in Alexandria via LeMat-Bulk.

```
PdPbO2F
1.0
-2.8257 1.9040 -2.2288
-2.9123 -1.4712 2.4355
0.3464 3.4099 2.4739
O F Pd Pb
2 1 1 1
Direct
0.5000 0.0000 0.0000 O
0.0000 0.5000 0.0000 O
0.0000 0.0000 0.5000 F
0.0000 0.0000 0.0000 Pd
0.5000 0.5000 0.5000 Pb
```

Properties
electronic total energy = -24.7 eV/cell
SG = P4/mmm
volume = 70 Å³ per cell
M_tot = 0.0000 μB per atom

(6)
First-principles (PBE-GGA) data for PdPbOF2 after structural relaxation, as listed in Alexandria via LeMat-Bulk.

```
PdPbOF2
1.0
-3.7535 -0.7436 1.9018
1.0837 -4.0984 0.5365
1.6537 0.9112 3.6200
O F Pd Pb
1 2 1 1
Direct
0.0000 0.0000 0.5000 O
0.5000 0.0000 0.0000 F
0.0000 0.5000 0.0000 F
0.0000 0.0000 0.0000 Pd
0.5000 0.5000 0.5000 Pb
```

Properties
electronic total energy = -22.9 eV/cell
excess energy over the best structure of this formula in the dataset = 0 meV/atom
SG = P4/mmm
volume = 75 Å³ per cell
M_tot = 0.0000 μB per atom